A plane-wave DFT calculation with GGA-PBE was carried out for an optimized crystal structure of NbAsHBr2.

Values from the calculation:
Volume, Å³ per atom: 17.3
Total magnetization, Bohr magnetons per cell: 0.00
Crystal system: tetragonal
E, eV per cell: -18.08

Unit cell a=4.9868 b=4.9868 c=3.4874 alpha=90.00 beta=90.00 gamma=90.00
Fractional coordinates of all 5 atoms:
Nb: 0.0000 0.0000 0.0000
As: 0.5000 0.5000 0.0000
H: 0.5000 0.5000 0.5000
Br: 0.0000 0.5000 0.5000
Br: 0.5000 0.0000 0.5000

A plane-wave DFT calculation with GGA-PBE was carried out for an optimized crystal structure of NbAsHBr2.

Values from the calculation:
Volume, Å³ per atom: 27.7
Total magnetization, Bohr magnetons per cell: 0.79
Crystal system: tetragonal
E, eV per cell: -19.84

Unit cell a=5.2624 b=5.2624 c=4.9974 alpha=90.00 beta=90.00 gamma=90.00
Fractional coordinates of all 5 atoms:
Nb: 0.0000 0.0000 0.0000
As: 0.0000 0.0000 0.5000
H: 0.5000 0.5000 0.5000
Br: 0.0000 0.5000 0.0000
Br: 0.5000 0.0000 0.0000

A plane-wave DFT calculation with GGA-PBE was carried out for an optimized crystal structure of NiAsHBr2.

Values from the calculation:
Volume, Å³ per atom: 23.3
Total magnetization, Bohr magnetons per cell: 0.93
Crystal system: tetragonal
E, eV per cell: -14.34

Unit cell a=5.1346 b=5.1346 c=4.4159 alpha=90.00 beta=90.00 gamma=90.00
Fractional coordinates of all 5 atoms:
Ni: 0.0000 0.0000 0.0000
As: 0.0000 0.0000 0.5000
H: 0.5000 0.5000 0.5000
Br: 0.0000 0.5000 0.0000
Br: 0.5000 0.0000 0.0000

A plane-wave DFT calculation with GGA-PBE was carried out for an optimized crystal structure of NiAsHBr2.

Values from the calculation:
Volume, Å³ per atom: 17.8
Total magnetization, Bohr magnetons per cell: 0.85
Crystal system: tetragonal
E, eV per cell: -13.66

Unit cell a=5.0712 b=5.0712 c=3.4680 alpha=90.00 beta=90.00 gamma=90.00
Fractional coordinates of all 5 atoms:
Ni: 0.0000 0.0000 0.0000
As: 0.5000 0.5000 0.0000
H: 0.5000 0.5000 0.5000
Br: 0.0000 0.5000 0.5000
Br: 0.5000 0.0000 0.5000

A plane-wave DFT calculation with GGA-PBE was carried out for an optimized crystal structure of AsHOsBr2.

Values from the calculation:
Volume, Å³ per atom: 16.2
Total magnetization, Bohr magnetons per cell: 0.00
Crystal system: tetragonal
E, eV per cell: -16.15

Unit cell a=4.8651 b=4.8651 c=3.4314 alpha=90.00 beta=90.00 gamma=90.00
Fractional coordinates of all 5 atoms:
As: 0.0000 0.0000 0.0000
H: 0.0000 0.0000 0.5000
Os: 0.5000 0.5000 0.0000
Br: 0.0000 0.5000 0.5000
Br: 0.5000 0.0000 0.5000

A plane-wave DFT calculation with GGA-PBE was carried out for an optimized crystal structure of As2HOsBr.

Values from the calculation:
Volume, Å³ per atom: 24.7
Total magnetization, Bohr magnetons per cell: 0.99
Crystal system: tetragonal
E, eV per cell: -21.17

Unit cell a=4.6903 b=4.6903 c=5.6087 alpha=90.00 beta=90.00 gamma=90.00
Fractional coordinates of all 5 atoms:
As: 0.0000 0.5000 0.0000
As: 0.5000 0.0000 0.0000
H: 0.0000 0.0000 0.5000
Os: 0.5000 0.5000 0.0000
Br: 0.5000 0.5000 0.5000